# 1
The following is a DFT calculation (PBE) of an optimized crystal structure of HfTa4Ru5.

Its space group is P4/mmm (123). For the density of states at the Fermi level, the calculation gives 11.19 states/eV/f.u.

```
10
Lattice="3.234 0.000 0.000 0.000 3.234 0.000 0.000 0.000 15.517" Properties=species:S:1:pos:R:3 pbc="T T T"
Ru 1.617 1.617 7.758
Ru 1.617 1.617 4.711
Ru 1.617 1.617 1.627
Ru 1.617 1.617 10.806
Ru 1.617 1.617 13.890
Ta 0.000 0.000 3.171
Ta 0.000 0.000 6.223
Ta 0.000 0.000 12.346
Ta 0.000 0.000 9.294
Hf 0.000 0.000 0.000
```

---

# 2
The following is a DFT calculation (PBE) of an optimized crystal structure of Hf2TaRu.

Its space group is P4/mmm (123). For the density of states at the Fermi level, the calculation gives 5.68 states/eV/f.u.

```
4
Lattice="3.243 0.000 0.000 0.000 3.243 0.000 0.000 0.000 7.070" Properties=species:S:1:pos:R:3 pbc="T T T"
Ru 1.622 1.622 0.000
Hf 0.000 0.000 1.617
Hf 0.000 0.000 5.453
Ta 1.622 1.622 3.535
```

---

# 3
The following is a DFT calculation (PBE) of an optimized crystal structure of HfTa2Ru.

Its space group is Immm (71). For the density of states at the Fermi level, the calculation gives 2.42 states/eV/f.u.

```
4
Lattice="3.098 0.000 -0.964 -0.581 4.098 -1.866 0.034 0.026 5.566" Properties=species:S:1:pos:R:3 pbc="T T T"
Hf -0.290 2.049 -0.933
Ta 1.935 3.136 0.759
Ta 0.616 0.988 1.978
Ru 1.549 0.000 -0.482
```

---

# 4
The following is a DFT calculation (PBE) of an optimized crystal structure of HfTaRu2.

Its space group is Fm-3m (225). For the density of states at the Fermi level, the calculation gives 3.58 states/eV/f.u.

```
4
Lattice="-2.485 -0.714 3.727 -4.180 -1.725 -0.357 -0.832 -4.236 1.394" Properties=species:S:1:pos:R:3 pbc="T T T"
Ru -3.749 -3.338 2.382
Ru 0.000 0.000 0.000
Ta -5.623 -5.007 3.573
Hf -1.874 -1.669 1.191
```

---

# 5
The following is a DFT calculation (PBE) of an optimized crystal structure of HfTa3Ru.

Its space group is Pm-3m (221). For the density of states at the Fermi level, the calculation gives 10.66 states/eV/f.u.

```
5
Lattice="-1.165 -3.579 -3.001 -2.517 -2.124 3.510 -3.934 2.418 -1.357" Properties=species:S:1:pos:R:3 pbc="T T T"
Ta -1.967 1.209 -0.679
Ta -1.258 -1.062 1.755
Ta -0.582 -1.789 -1.501
Hf 0.000 0.000 0.000
Ru -3.808 -1.642 -0.424
```

---

# 6
The following is a DFT calculation (PBE) of an optimized crystal structure of HfTaRu2.

Its space group is P4/mmm (123). For the density of states at the Fermi level, the calculation gives 2.87 states/eV/f.u.

```
4
Lattice="3.159 0.000 0.000 0.000 3.159 0.000 0.000 0.000 6.614" Properties=species:S:1:pos:R:3 pbc="T T T"
Ta 1.580 1.580 3.307
Ru 0.000 0.000 4.917
Ru 0.000 0.000 1.697
Hf 1.580 1.580 0.000
```

---

# 7
The following is a DFT calculation (PBE) of an optimized crystal structure of Hf2Ta2Ru.

Its space group is I4/mmm (139). For the density of states at the Fermi level, the calculation gives 4.60 states/eV/f.u.

```
5
Lattice="-1.178 -1.865 -2.464 3.090 -0.746 -0.913 -1.060 -5.385 6.804" Properties=species:S:1:pos:R:3 pbc="T T T"
Hf 0.936 -2.575 -0.718
Hf -0.085 -5.421 4.145
Ta -0.043 -2.742 2.096
Ta 0.894 -5.255 1.331
Ru 0.000 0.000 0.000
```

---

# 8
The following is a DFT calculation (PBE) of an optimized crystal structure of HfTaRu2.

Its space group is Pmma (51). For the density of states at the Fermi level, the calculation gives 2.51 states/eV/f.u.

```
8
Lattice="3.269 0.000 0.000 0.000 4.501 0.000 0.000 0.000 8.987" Properties=species:S:1:pos:R:3 pbc="T T T"
Hf 1.634 3.376 5.643
Hf 1.634 1.125 3.343
Ta 1.634 3.376 1.090
Ta 1.634 1.125 7.897
Ru 0.000 1.125 5.667
Ru 0.000 3.376 3.319
Ru 0.000 3.376 7.909
Ru 0.000 1.125 1.078
```

---

Number 1: energy of formation -0.397 eV per atom, M_tot 0.000 μB/atom. Number 2: energy of formation -0.328 eV per atom, M_tot 0.000 μB/atom. Number 3: energy of formation -0.334 eV per atom, M_tot 0.000 μB/atom. Number 4: energy of formation -0.558 eV per atom, M_tot 0.000 μB/atom. Number 5: energy of formation 2.219 eV per atom, M_tot 0.000 μB/atom. Number 6: energy of formation -0.558 eV per atom, M_tot 0.000 μB/atom. Number 7: energy of formation -0.279 eV per atom, M_tot 0.000 μB/atom. Number 8: energy of formation -0.561 eV per atom, M_tot 0.000 μB/atom.